No. 1
A relaxed structure of IrCN2O. Source: the Alexandria database, functional PBE-GGA.

The structure in POSCAR format:
```
IrCN2O
1.0
3.768 0.000 0.000
0.000 3.768 0.000
0.000 0.000 4.060
C Ir O N
1 1 1 2
Direct
0.500 0.500 0.500
0.000 0.000 0.000
0.000 0.000 0.500
0.000 0.500 0.000
0.500 0.000 0.000
```

Output
Final energy in eV per atom: -5.76
Space-group type: P4/mmm (123)

=====

No. 2
A relaxed structure of Pm3IrC2N6. Source: the Alexandria database, functional PBE-GGA.

The structure in POSCAR format:
```
Pm3IrC2N6
1.0
-3.285 3.616 1.854
-0.766 -5.046 1.120
3.750 0.632 5.412
Pm Ir C N
3 1 2 6
Direct
0.333 0.667 0.676
0.667 0.333 0.324
0.000 0.000 0.000
0.000 0.000 0.500
0.667 0.333 0.714
0.333 0.667 0.286
0.638 0.819 0.272
0.181 0.362 0.272
0.181 0.819 0.272
0.819 0.638 0.728
0.362 0.181 0.728
0.819 0.181 0.728
```

Output
Final energy in eV per atom: -8.06
Space-group type: P-3m1 (164)

=====

No. 3
A relaxed structure of Te2IrCN. Source: the Alexandria database, functional PBE-GGA.

The structure in POSCAR format:
```
Te2IrCN
1.0
5.977 0.000 0.000
0.000 5.977 0.000
0.000 0.000 2.601
C Ir Te N
1 1 2 1
Direct
0.000 0.000 0.000
0.500 0.500 0.500
0.000 0.500 0.000
0.500 0.000 0.000
0.000 0.000 0.500
```

Output
Energy relative to the lowest polymorph listed for this composition in eV per atom: 0.000
Space-group type: P4/mmm (123)

=====

Calculated total moment, 0.345 0.000 0.000 Bohr magnetons per cell (same order as the records).
Calculated DOS(E_F), 2.84 4.03 3.49 states/eV/f.u. (same order as the records).